DFT (PBE) results for a relaxed La2Pm3HoS6 crystal. Values from VASP.

Structure (Quantum ESPRESSO input):
```
&SYSTEM
  ibrav = 0, nat = 12, ntyp = 4
/
ATOMIC_SPECIES
S 32.06 S.upf
Ho 164.93 Ho.upf
Pm 145.00 Pm.upf
La 138.91 La.upf
CELL_PARAMETERS angstrom
7.029 -0.007 -0.003
-3.519 6.085 -0.003
-1.174 -2.033 6.595
ATOMIC_POSITIONS crystal
S 0.596 0.918 0.751
S 0.404 0.082 0.249
S 0.236 0.236 0.747
S 0.918 0.596 0.751
S 0.764 0.764 0.253
S 0.082 0.404 0.249
Ho 0.000 0.000 0.000
Pm 0.829 0.171 0.500
Pm 0.171 0.829 0.500
Pm 0.500 0.500 0.500
La 0.334 0.666 0.000
La 0.666 0.334 0.000
```

Volume (Å³/cell): 281.8
Electronic total energy (eV/cell): -78.25
Formation energy without anion corrections (eV/atom): -2.067
Mass density (Mg/m³): 6.305
Magnetization (μB/f.u.): 0.0

=====

DFT (PBE) results for a relaxed Cu2ReTcMo crystal. Values from VASP.

Structure (Quantum ESPRESSO input):
```
&SYSTEM
  ibrav = 0, nat = 5, ntyp = 4
/
ATOMIC_SPECIES
Mo 95.94 Mo.upf
Cu 63.55 Cu.upf
Re 186.21 Re.upf
Tc 98.00 Tc.upf
CELL_PARAMETERS angstrom
-0.286 -4.250 -1.609
4.560 -0.375 0.179
-0.298 -1.591 4.256
ATOMIC_POSITIONS crystal
Mo 0.500 0.500 0.500
Cu 0.500 0.000 0.000
Cu 0.000 0.000 0.500
Re 0.000 0.000 0.000
Tc 0.000 0.500 0.000
```

Formation energy (eV per atom): 1.92
Volume (Å³/cell): 94.9
Electronic total energy (eV/cell): -32.22
Mass density (Mg/m³): 8.872
Magnetization (μB/f.u.): 0.8

=====

DFT (PBE) results for a relaxed Co4CuAg crystal. Values from VASP.

Structure (Quantum ESPRESSO input):
```
&SYSTEM
  ibrav = 0, nat = 6, ntyp = 3
/
ATOMIC_SPECIES
Cu 63.55 Cu.upf
Co 58.93 Co.upf
Ag 107.87 Ag.upf
CELL_PARAMETERS angstrom
4.007 -2.388 0.985
2.399 0.923 4.015
0.059 -3.202 3.531
ATOMIC_POSITIONS crystal
Cu 0.250 0.250 0.250
Co 0.625 0.126 0.625
Co 0.625 0.625 0.625
Co 0.126 0.625 0.625
Co 0.625 0.625 0.126
Ag 0.000 0.000 0.000
```

Formation energy (eV per atom): 0.31
Volume (Å³/cell): 76.6
Electronic total energy (eV/cell): -33.48
Mass density (Mg/m³): 8.825
Magnetization (μB/f.u.): 7.1

=====

DFT (PBE) results for a relaxed CeHo2Hf crystal. Values from VASP.

Structure (Quantum ESPRESSO input):
```
&SYSTEM
  ibrav = 0, nat = 4, ntyp = 3
/
ATOMIC_SPECIES
Ce 140.12 Ce.upf
Hf 178.49 Hf.upf
Ho 164.93 Ho.upf
CELL_PARAMETERS angstrom
-0.420 1.799 -2.826
-1.793 -1.275 -2.562
-10.107 4.729 2.495
ATOMIC_POSITIONS crystal
Ce 0.500 0.500 0.499
Hf 0.666 0.666 0.001
Ho 0.255 0.255 0.234
Ho 0.078 0.078 0.767
```

Formation energy (eV per atom): 0.14
Volume (Å³/cell): 111.3
Electronic total energy (eV/cell): -24.50
Mass density (Mg/m³): 9.678
Magnetization (μB/f.u.): 1.0

=====

DFT (PBE) results for a relaxed Ac2P2Pt5 crystal. Values from VASP.

Structure (Quantum ESPRESSO input):
```
&SYSTEM
  ibrav = 0, nat = 9, ntyp = 3
/
ATOMIC_SPECIES
Pt 195.08 Pt.upf
Ac 227.00 Ac.upf
P 30.97 P.upf
CELL_PARAMETERS angstrom
4.376 0.004 0.001
-2.177 6.485 0.272
0.002 0.366 6.978
ATOMIC_POSITIONS crystal
Pt 0.692 0.383 0.185
Pt 0.308 0.617 0.815
Pt 0.084 0.166 0.383
Pt 0.916 0.834 0.617
Pt 0.000 0.000 0.000
Ac 0.386 0.771 0.306
Ac 0.614 0.229 0.694
P 0.170 0.339 0.070
P 0.830 0.661 0.930
```

Formation energy (eV per atom): -0.94
Volume (Å³/cell): 197.6
Electronic total energy (eV/cell): -57.71
Mass density (Mg/m³): 12.531
Magnetization (μB/f.u.): 0.0

=====

DFT (PBE) results for a relaxed Sc3CdTc2 crystal. Values from VASP.

Structure (Quantum ESPRESSO input):
```
&SYSTEM
  ibrav = 0, nat = 6, ntyp = 3
/
ATOMIC_SPECIES
Sc 44.96 Sc.upf
Cd 112.41 Cd.upf
Tc 98.00 Tc.upf
CELL_PARAMETERS angstrom
-1.371 0.406 -2.991
2.358 -1.907 -1.340
-5.855 -8.330 1.554
ATOMIC_POSITIONS crystal
Sc 0.000 0.000 0.000
Sc 0.000 0.000 0.298
Sc 0.000 0.000 0.702
Cd 0.500 0.500 0.500
Tc 0.500 0.500 0.158
Tc 0.500 0.500 0.842
```

Formation energy (eV per atom): -0.22
Volume (Å³/cell): 113.2
Electronic total energy (eV/cell): -41.94
Mass density (Mg/m³): 6.501
Magnetization (μB/f.u.): 0.0

=====

DFT (PBE) results for a relaxed SbOsPtBr2 crystal. Values from VASP.

Structure (Quantum ESPRESSO input):
```
&SYSTEM
  ibrav = 0, nat = 5, ntyp = 4
/
ATOMIC_SPECIES
Sb 121.76 Sb.upf
Br 79.90 Br.upf
Os 190.23 Os.upf
Pt 195.08 Pt.upf
CELL_PARAMETERS angstrom
-1.954 -3.782 -3.612
-0.253 -3.411 3.708
-5.222 1.617 1.132
ATOMIC_POSITIONS crystal
Sb 0.000 0.000 0.000
Br 0.500 0.000 0.000
Br 0.000 0.000 0.500
Os 0.500 0.500 0.500
Pt 0.000 0.500 0.000
```

Volume (Å³/cell): 157.2
Electronic total energy (eV/cell): -17.30
Formation energy without anion corrections (eV/atom): 1.487
Mass density (Mg/m³): 7.043
Magnetization (μB/f.u.): 5.0

=====

DFT (PBE) results for a relaxed Sr3Ni2As3 crystal. Values from VASP.

Structure (Quantum ESPRESSO input):
```
&SYSTEM
  ibrav = 0, nat = 16, ntyp = 3
/
ATOMIC_SPECIES
Ni 58.69 Ni.upf
Sr 87.62 Sr.upf
As 74.92 As.upf
CELL_PARAMETERS angstrom
4.190 0.000 0.000
-2.095 5.670 0.000
0.000 0.000 15.822
ATOMIC_POSITIONS crystal
Ni 0.864 0.728 0.622
Ni 0.136 0.272 0.378
Ni 0.136 0.272 0.122
Ni 0.864 0.728 0.878
Sr 0.852 0.704 0.092
Sr 0.148 0.296 0.908
Sr 0.148 0.296 0.592
Sr 0.550 0.101 0.250
Sr 0.852 0.704 0.408
Sr 0.450 0.899 0.750
As 0.582 0.163 0.059
As 0.743 0.485 0.750
As 0.418 0.837 0.941
As 0.418 0.837 0.559
As 0.257 0.515 0.250
As 0.582 0.163 0.441
```

Formation energy (eV per atom): -0.80
Volume (Å³/cell): 375.9
Electronic total energy (eV/cell): -73.92
Mass density (Mg/m³): 5.345
Magnetization (μB/f.u.): 0.0

=====

DFT (PBE) results for a relaxed Ca3PbBr8 crystal. Values from VASP.

Structure (Quantum ESPRESSO input):
```
&SYSTEM
  ibrav = 0, nat = 24, ntyp = 3
/
ATOMIC_SPECIES
Br 79.90 Br.upf
Ca 40.08 Ca.upf
Pb 207.20 Pb.upf
CELL_PARAMETERS angstrom
8.623 0.000 0.000
-4.312 7.468 0.000
0.000 0.000 13.779
ATOMIC_POSITIONS crystal
Br 0.511 0.489 0.837
Br 0.159 0.841 0.599
Br 0.978 0.489 0.837
Br 0.841 0.682 0.099
Br 0.682 0.841 0.599
Br 0.489 0.978 0.337
Br 0.159 0.318 0.599
Br 0.667 0.333 0.601
Br 0.333 0.667 0.101
Br 0.000 0.000 0.826
Br 0.841 0.159 0.099
Br 0.511 0.022 0.837
Br 0.022 0.511 0.337
Br 0.489 0.511 0.337
Br 0.000 0.000 0.326
Br 0.318 0.159 0.099
Ca 0.833 0.167 0.715
Ca 0.833 0.665 0.715
Ca 0.665 0.833 0.215
Ca 0.167 0.335 0.215
Ca 0.167 0.833 0.215
Ca 0.335 0.167 0.715
Pb 0.333 0.667 0.479
Pb 0.667 0.333 0.979
```

Volume (Å³/cell): 887.4
Electronic total energy (eV/cell): -88.36
Formation energy without anion corrections (eV/atom): -1.757
Mass density (Mg/m³): 3.618
Magnetization (μB/f.u.): 0.0

=====

DFT (PBE) results for a relaxed La2CdTc crystal. Values from VASP.

Structure (Quantum ESPRESSO input):
```
&SYSTEM
  ibrav = 0, nat = 4, ntyp = 3
/
ATOMIC_SPECIES
La 138.91 La.upf
Cd 112.41 Cd.upf
Tc 98.00 Tc.upf
CELL_PARAMETERS angstrom
-2.059 -2.311 -7.728
-2.933 -0.036 4.323
-2.674 2.054 -1.808
ATOMIC_POSITIONS crystal
La 0.500 0.000 0.500
La 0.000 0.000 0.000
Cd 0.500 0.500 0.000
Tc 0.000 0.500 0.500
```

Formation energy (eV per atom): 0.07
Volume (Å³/cell): 104.4
Electronic total energy (eV/cell): -20.85
Mass density (Mg/m³): 7.764
Magnetization (μB/f.u.): 0.0

=====

DFT (PBE) results for a relaxed Hg4Te2I5 crystal. Values from VASP.

Structure (Quantum ESPRESSO input):
```
&SYSTEM
  ibrav = 0, nat = 11, ntyp = 3
/
ATOMIC_SPECIES
I 126.90 I.upf
Te 127.60 Te.upf
Hg 200.59 Hg.upf
CELL_PARAMETERS angstrom
-0.375 -1.803 -4.630
5.453 -7.309 6.022
-9.351 -0.697 4.279
ATOMIC_POSITIONS crystal
I 0.683 0.214 0.687
I 0.500 0.000 0.000
I 0.931 0.661 0.625
I 0.069 0.339 0.375
I 0.317 0.786 0.313
Te 0.595 0.432 0.095
Te 0.405 0.568 0.905
Hg 0.015 0.211 0.995
Hg 0.484 0.428 0.669
Hg 0.516 0.572 0.331
Hg 0.985 0.789 0.005
```

Volume (Å³/cell): 487.7
Electronic total energy (eV/cell): -17.09
Formation energy without anion corrections (eV/atom): -0.168
Mass density (Mg/m³): 5.761
Magnetization (μB/f.u.): 0.0

=====

DFT (PBE) results for a relaxed CaZnW2 crystal. Values from VASP.

Structure (Quantum ESPRESSO input):
```
&SYSTEM
  ibrav = 0, nat = 4, ntyp = 3
/
ATOMIC_SPECIES
W 183.84 W.upf
Zn 65.41 Zn.upf
Ca 40.08 Ca.upf
CELL_PARAMETERS angstrom
2.754 0.000 0.000
0.000 2.754 0.000
0.000 0.000 9.431
ATOMIC_POSITIONS crystal
W 0.500 0.500 0.262
W 0.000 0.000 0.020
Zn 0.000 0.000 0.478
Ca 0.500 0.500 0.740
```

Formation energy (eV per atom): 0.55
Volume (Å³/cell): 71.5
Electronic total energy (eV/cell): -26.97
Mass density (Mg/m³): 10.985
Magnetization (μB/f.u.): 0.0